Na2FeCuF | PBE+U | relaxed

Unit cell a=5.3234 b=5.3234 c=4.6327 alpha=90.00 beta=90.00 gamma=90.00
Closest atoms and distances in Å follow each position.
Element x y z (fractional)
Na 0.0000 0.5000 0.0000  2 Cu 2.66
Na 0.5000 0.0000 0.0000  2 Cu 2.66
Fe 0.0000 0.0000 0.5000  2 Cu 2.32
Cu 0.0000 0.0000 0.0000  2 Fe 2.32
F 0.5000 0.5000 0.5000  8 Na 3.53, 4 Fe 3.76

Computed properties:
Final energy, eV/cell: -13.9